[1]
Cs2K15Na2: optimized geometry, PBE.

Geometry as CIF:
```
data_Cs2K15Na2
_chemical_formula_sum 'Cs2 K15 Na2'
_symmetry_space_group_name_H-M 'P 1'
_symmetry_Int_Tables_number 1
_cell_length_a 11.419
_cell_length_b 11.419
_cell_length_c 11.419
_cell_angle_alpha 81.27
_cell_angle_beta 81.27
_cell_angle_gamma 81.27
loop_
_symmetry_equiv_pos_as_xyz
'x,y,z'
loop_
_atom_site_label
_atom_site_type_symbol
_atom_site_fract_x
_atom_site_fract_y
_atom_site_fract_z
Cs1 Cs 0.176 0.176 0.176
Cs2 Cs 0.824 0.824 0.824
K1 K 0.000 0.500 0.500
K2 K 0.148 0.148 0.647
K3 K 0.148 0.647 0.148
K4 K 0.209 0.500 0.791
K5 K 0.209 0.791 0.500
K6 K 0.353 0.852 0.852
K7 K 0.500 0.000 0.500
K8 K 0.500 0.209 0.791
K9 K 0.500 0.500 0.000
K10 K 0.500 0.791 0.209
K11 K 0.647 0.148 0.148
K12 K 0.791 0.209 0.500
K13 K 0.791 0.500 0.209
K14 K 0.852 0.353 0.852
K15 K 0.852 0.852 0.353
Na1 Na 0.413 0.413 0.413
Na2 Na 0.587 0.587 0.587
```

[2]
# Cs2K2Na (PBE, optimized geometry)
data_Cs2K2Na
_chemical_formula_sum 'Cs2 K2 Na1'
_symmetry_space_group_name_H-M 'P 1'
_symmetry_Int_Tables_number 1
_cell_length_a 14.157
_cell_length_b 14.157
_cell_length_c 14.157
_cell_angle_alpha 158.09
_cell_angle_beta 158.09
_cell_angle_gamma 31.19
loop_
_symmetry_equiv_pos_as_xyz
'x,y,z'
loop_
_atom_site_label
_atom_site_type_symbol
_atom_site_fract_x
_atom_site_fract_y
_atom_site_fract_z
Cs1 Cs 0.090 0.090 0.000
Cs2 Cs 0.910 0.910 0.000
K1 K 0.294 0.294 0.000
K2 K 0.706 0.706 0.000
Na1 Na 0.500 0.500 0.000
# Polymorph energy (0 for the lowest one), meV/atom: 0

[3]
Cs12K5Na3: optimized geometry, PBE.

Geometry as CIF:
```
data_Cs12K5Na3
_chemical_formula_sum 'Cs48 K20 Na12'
_symmetry_space_group_name_H-M 'P 1'
_symmetry_Int_Tables_number 1
_cell_length_a 22.774
_cell_length_b 22.774
_cell_length_c 22.774
_cell_angle_alpha 109.47
_cell_angle_beta 109.47
_cell_angle_gamma 109.47
loop_
_symmetry_equiv_pos_as_xyz
'x,y,z'
loop_
_atom_site_label
_atom_site_type_symbol
_atom_site_fract_x
_atom_site_fract_y
_atom_site_fract_z
Cs1 Cs 0.064 0.632 0.396
Cs2 Cs 0.064 0.932 0.668
Cs3 Cs 0.068 0.236 0.132
Cs4 Cs 0.068 0.332 0.936
Cs5 Cs 0.104 0.736 0.668
Cs6 Cs 0.104 0.868 0.436
Cs7 Cs 0.132 0.068 0.236
Cs8 Cs 0.132 0.564 0.896
Cs9 Cs 0.168 0.236 0.604
Cs10 Cs 0.168 0.432 0.564
Cs11 Cs 0.236 0.132 0.068
Cs12 Cs 0.236 0.604 0.168
Cs13 Cs 0.264 0.332 0.896
Cs14 Cs 0.264 0.432 0.368
Cs15 Cs 0.332 0.896 0.264
Cs16 Cs 0.332 0.936 0.068
Cs17 Cs 0.368 0.264 0.432
Cs18 Cs 0.368 0.604 0.936
Cs19 Cs 0.396 0.064 0.632
Cs20 Cs 0.396 0.832 0.764
Cs21 Cs 0.432 0.368 0.264
Cs22 Cs 0.432 0.564 0.168
Cs23 Cs 0.436 0.104 0.868
Cs24 Cs 0.436 0.832 0.568
Cs25 Cs 0.564 0.168 0.432
Cs26 Cs 0.564 0.896 0.132
Cs27 Cs 0.568 0.436 0.832
Cs28 Cs 0.568 0.632 0.736
Cs29 Cs 0.604 0.168 0.236
Cs30 Cs 0.604 0.936 0.368
Cs31 Cs 0.632 0.396 0.064
Cs32 Cs 0.632 0.736 0.568
Cs33 Cs 0.668 0.064 0.932
Cs34 Cs 0.668 0.104 0.736
Cs35 Cs 0.736 0.568 0.632
Cs36 Cs 0.736 0.668 0.104
Cs37 Cs 0.764 0.396 0.832
Cs38 Cs 0.764 0.868 0.932
Cs39 Cs 0.832 0.568 0.436
Cs40 Cs 0.832 0.764 0.396
Cs41 Cs 0.868 0.436 0.104
Cs42 Cs 0.868 0.932 0.764
Cs43 Cs 0.896 0.132 0.564
Cs44 Cs 0.896 0.264 0.332
Cs45 Cs 0.932 0.668 0.064
Cs46 Cs 0.932 0.764 0.868
Cs47 Cs 0.936 0.068 0.332
Cs48 Cs 0.936 0.368 0.604
K1 K 0.000 0.000 0.000
K2 K 0.000 0.000 0.500
K3 K 0.000 0.500 0.000
K4 K 0.000 0.500 0.500
K5 K 0.125 0.750 0.875
K6 K 0.125 0.875 0.250
K7 K 0.250 0.125 0.875
K8 K 0.250 0.625 0.375
K9 K 0.375 0.250 0.625
K10 K 0.375 0.625 0.750
K11 K 0.500 0.000 0.000
K12 K 0.500 0.000 0.500
K13 K 0.500 0.500 0.000
K14 K 0.500 0.500 0.500
K15 K 0.625 0.375 0.250
K16 K 0.625 0.750 0.375
K17 K 0.750 0.375 0.625
K18 K 0.750 0.875 0.125
K19 K 0.875 0.125 0.750
K20 K 0.875 0.250 0.125
Na1 Na 0.125 0.250 0.375
Na2 Na 0.125 0.375 0.750
Na3 Na 0.250 0.375 0.125
Na4 Na 0.250 0.875 0.625
Na5 Na 0.375 0.125 0.250
Na6 Na 0.375 0.750 0.125
Na7 Na 0.625 0.250 0.875
Na8 Na 0.625 0.875 0.750
Na9 Na 0.750 0.125 0.375
Na10 Na 0.750 0.625 0.875
Na11 Na 0.875 0.625 0.250
Na12 Na 0.875 0.750 0.625
```

[4]
Cs5K3Na3: optimized geometry, PBE.

Geometry as CIF:
```
data_Cs5K3Na3
_chemical_formula_sum 'Cs5 K3 Na3'
_symmetry_space_group_name_H-M 'P 1'
_symmetry_Int_Tables_number 1
_cell_length_a 15.178
_cell_length_b 15.178
_cell_length_c 4.738
_cell_angle_alpha 90.00
_cell_angle_beta 90.00
_cell_angle_gamma 120.00
loop_
_symmetry_equiv_pos_as_xyz
'x,y,z'
loop_
_atom_site_label
_atom_site_type_symbol
_atom_site_fract_x
_atom_site_fract_y
_atom_site_fract_z
Cs1 Cs 0.000 0.795 0.000
Cs2 Cs 0.205 0.205 0.000
Cs3 Cs 0.333 0.667 0.000
Cs4 Cs 0.667 0.333 0.000
Cs5 Cs 0.795 0.000 0.000
K1 K 0.000 0.489 0.000
K2 K 0.489 0.000 0.000
K3 K 0.511 0.511 0.000
Na1 Na 0.000 0.282 0.500
Na2 Na 0.282 0.000 0.500
Na3 Na 0.718 0.718 0.500
```

[5]
# CsK7Na2 (PBE, optimized geometry)
data_CsK7Na2
_chemical_formula_sum 'Cs1 K7 Na2'
_symmetry_space_group_name_H-M 'P 1'
_symmetry_Int_Tables_number 1
_cell_length_a 11.002
_cell_length_b 11.002
_cell_length_c 7.198
_cell_angle_alpha 90.00
_cell_angle_beta 90.00
_cell_angle_gamma 111.84
loop_
_symmetry_equiv_pos_as_xyz
'x,y,z'
loop_
_atom_site_label
_atom_site_type_symbol
_atom_site_fract_x
_atom_site_fract_y
_atom_site_fract_z
Cs1 Cs 0.000 0.000 0.000
K1 K 0.077 0.330 0.500
K2 K 0.330 0.077 0.500
K3 K 0.336 0.664 0.000
K4 K 0.500 0.500 0.500
K5 K 0.664 0.336 0.000
K6 K 0.670 0.923 0.500
K7 K 0.923 0.670 0.500
Na1 Na 0.280 0.720 0.500
Na2 Na 0.720 0.280 0.500
# Polymorph energy (0 for the lowest one), meV/atom: 53

[6]
CsKNa4: optimized geometry, PBE.

Geometry as CIF:
```
data_CsKNa4
_chemical_formula_sum 'Cs1 K1 Na4'
_symmetry_space_group_name_H-M 'P 1'
_symmetry_Int_Tables_number 1
_cell_length_a 7.601
_cell_length_b 7.601
_cell_length_c 7.601
_cell_angle_alpha 60.00
_cell_angle_beta 60.00
_cell_angle_gamma 60.00
loop_
_symmetry_equiv_pos_as_xyz
'x,y,z'
loop_
_atom_site_label
_atom_site_type_symbol
_atom_site_fract_x
_atom_site_fract_y
_atom_site_fract_z
Cs1 Cs 0.000 0.000 0.000
K1 K 0.750 0.750 0.750
Na1 Na 0.376 0.376 0.376
Na2 Na 0.376 0.376 0.873
Na3 Na 0.376 0.873 0.376
Na4 Na 0.873 0.376 0.376
```

[7]
CsK3Na8: optimized geometry, PBE.

Geometry as CIF:
```
data_CsK3Na8
_chemical_formula_sum 'Cs1 K3 Na8'
_symmetry_space_group_name_H-M 'P 1'
_symmetry_Int_Tables_number 1
_cell_length_a 7.463
_cell_length_b 7.463
_cell_length_c 12.376
_cell_angle_alpha 90.00
_cell_angle_beta 90.00
_cell_angle_gamma 120.00
loop_
_symmetry_equiv_pos_as_xyz
'x,y,z'
loop_
_atom_site_label
_atom_site_type_symbol
_atom_site_fract_x
_atom_site_fract_y
_atom_site_fract_z
Cs1 Cs 0.000 0.000 0.000
K1 K 0.000 0.000 0.380
K2 K 0.667 0.333 0.499
K3 K 0.667 0.333 0.868
Na1 Na 0.168 0.335 0.683
Na2 Na 0.168 0.832 0.683
Na3 Na 0.333 0.667 0.435
Na4 Na 0.333 0.667 0.935
Na5 Na 0.501 0.001 0.192
Na6 Na 0.501 0.499 0.192
Na7 Na 0.665 0.832 0.683
Na8 Na 0.999 0.499 0.192
```

[8]
Cs9K3Na2: optimized geometry, PBE.

Geometry as CIF:
```
data_Cs9K3Na2
_chemical_formula_sum 'Cs9 K3 Na2'
_symmetry_space_group_name_H-M 'P 1'
_symmetry_Int_Tables_number 1
_cell_length_a 16.340
_cell_length_b 16.340
_cell_length_c 16.340
_cell_angle_alpha 162.11
_cell_angle_beta 91.60
_cell_angle_gamma 91.17
loop_
_symmetry_equiv_pos_as_xyz
'x,y,z'
loop_
_atom_site_label
_atom_site_type_symbol
_atom_site_fract_x
_atom_site_fract_y
_atom_site_fract_z
Cs1 Cs 0.000 0.000 0.000
Cs2 Cs 0.019 0.166 0.852
Cs3 Cs 0.233 0.391 0.842
Cs4 Cs 0.314 0.166 0.148
Cs5 Cs 0.451 0.609 0.842
Cs6 Cs 0.549 0.391 0.158
Cs7 Cs 0.686 0.834 0.852
Cs8 Cs 0.767 0.609 0.158
Cs9 Cs 0.981 0.834 0.148
K1 K 0.286 0.786 0.500
K2 K 0.500 0.000 0.500
K3 K 0.714 0.214 0.500
Na1 Na 0.174 0.500 0.674
Na2 Na 0.826 0.500 0.326
```

Asked for M_tot across the records above, the calculation gives 0.00, 0.00, 0.00, 0.00, 0.00, 0.00, 0.00, 0.00 μB/f.u. in order.
Asked for uncorrected energy across the records above, the calculation gives -0.0776, -0.0758, -0.0611, -0.0693, -0.0747, -0.0884, -0.0899, -0.0690 Ry/atom in order.